Here is an optimized crystal structure of CuBi2F11 from the Alexandria database. Energies are from PBE.

a b c (Å): 8.3681 10.2359 10.4260
angles (deg): 90.00 90.00 90.00
Closest atoms and distances in Å follow each position.
Space group Ibam (No. 72)
Inequivalent atoms, fractional coordinates:
Cu 0.0000 0.0000 0.2500  4 F 1.85
Bi 0.0869 0.2976 0.0000  7 F 2.06-2.24
F 0.0000 0.5000 0.0000  2 Bi 2.20
F 0.0276 0.1279 0.1266  1 Cu 1.85
F 0.1779 0.3013 0.5000  2 Bi 2.21-2.22
F 0.1824 0.3738 0.1663  1 Bi 2.06

***

Here is an optimized crystal structure of CuBiF from the Alexandria database. Energies are from PBE.

a b c (Å): 4.1895 5.1207 5.6938
angles (deg): 63.92 83.50 77.48
Closest atoms and distances in Å follow each position.
Space group P-1 (No. 2)
Inequivalent atoms, fractional coordinates:
Cu 0.0194 0.4311 0.3133  2 F 2.09-2.14
Bi 0.4547 0.8578 0.3157  3 F 2.78-3.02, 4 Cu 2.85-3.10
F 0.1546 0.7172 0.9368  2 Cu 2.09-2.14

***

Here is an optimized crystal structure of CuBiF2 from the Alexandria database. Energies are from PBE.

a b c (Å): 5.7939 5.7939 8.4858
angles (deg): 90.00 90.00 90.00
Closest atoms and distances in Å follow each position.
Space group I-42d (No. 122)
Inequivalent atoms, fractional coordinates:
Cu 0.0000 0.0000 0.0000  4 F 2.02
Bi 0.0000 0.0000 0.5000  4 F 2.66
F 0.1614 0.2500 0.1250  2 Cu 2.02

***

no.,formation energy without anion corrections (eV per atom),density (g/cm3)
1,-1.785,5.14
2,-0.739,9.04
3,-0.934,7.24